Record 1
SmPuNp | GGA-PBE | relaxed

Results
**Distance to the lowest polymorph of the same formula**: 0 meV per atom
**Total moment**: 10.27 μB per formula unit
**DFT total energy**: -9.6324 eV per atom
**Formation energy from the elements**: 903 meV/atom

The structure in CIF format:
```
data_SmPuNp
_space_group_name_H-M_alt 'F -4 3 m'
_space_group_IT_number 216
_space_group_name_Hall 'F -4 2 3'
_cell_length_a 7.058
_cell_length_b 7.058
_cell_length_c 7.058
_cell_angle_alpha 90.00
_cell_angle_beta 90.00
_cell_angle_gamma 90.00
loop_
_atom_site_label
_atom_site_type_symbol
_atom_site_fract_x
_atom_site_fract_y
_atom_site_fract_z
_atom_site_occupancy
Sm1 Sm 0.000 0.000 0.000 1
Pu1 Pu 0.250 0.250 0.750 1
Np1 Np 0.000 0.000 0.500 1
```

Record 2
Pt3AuN5 | GGA-PBE | relaxed

Results
**Total moment**: 0.01 μB per formula unit
**DFT total energy**: -6.0857 eV per atom

The structure in CIF format:
```
data_Pt3AuN5
_space_group_name_H-M_alt 'P 6/m m m'
_space_group_IT_number 191
_space_group_name_Hall '-P 6 2'
_cell_length_a 5.9500
_cell_length_b 5.9500
_cell_length_c 3.7630
_cell_angle_alpha 90.00
_cell_angle_beta 90.00
_cell_angle_gamma 120.00
loop_
_atom_site_label
_atom_site_type_symbol
_atom_site_fract_x
_atom_site_fract_y
_atom_site_fract_z
_atom_site_occupancy
Pt1 Pt 0.0000 0.5000 0.0000 1
Au1 Au 0.0000 0.0000 0.5000 1
N1 N 0.0000 0.0000 0.0000 1
N2 N 0.3333 0.6667 0.3269 1
```

Record 3
Rb2TbAg2Se4 | GGA-PBE | relaxed

Results
**Total moment**: 0.01 μB per formula unit
**DFT total energy**: -3.8232 eV per atom

The structure in CIF format:
```
data_Rb2TbAg2Se4
_space_group_name_H-M_alt 'C 2 2 2'
_space_group_IT_number 21
_space_group_name_Hall 'C 2 2'
_cell_length_a 6.413
_cell_length_b 13.478
_cell_length_c 6.426
_cell_angle_alpha 90.00
_cell_angle_beta 90.00
_cell_angle_gamma 90.00
loop_
_atom_site_label
_atom_site_type_symbol
_atom_site_fract_x
_atom_site_fract_y
_atom_site_fract_z
_atom_site_occupancy
Rb1 Rb 0.250 0.250 0.234 1
Tb1 Tb 0.000 0.000 0.500 1
Ag1 Ag 0.000 0.000 0.000 1
Ag2 Ag 0.000 0.500 0.500 1
Se1 Se 0.249 0.389 0.752 1
```

Record 4
ZnInB4 | GGA-PBE | relaxed

Results
**Distance to the lowest polymorph of the same formula**: 0 meV per atom
**DFT total energy**: -4.6685 eV per atom

The structure in CIF format:
```
data_ZnInB4
_space_group_name_H-M_alt 'P 6/m m m'
_space_group_IT_number 191
_space_group_name_Hall '-P 6 2'
_cell_length_a 3.1284
_cell_length_b 3.1284
_cell_length_c 7.2759
_cell_angle_alpha 90.00
_cell_angle_beta 90.00
_cell_angle_gamma 120.00
loop_
_atom_site_label
_atom_site_type_symbol
_atom_site_fract_x
_atom_site_fract_y
_atom_site_fract_z
_atom_site_occupancy
Zn1 Zn 0.0000 0.0000 0.0000 1
In1 In 0.0000 0.0000 0.5000 1
B1 B 0.3333 0.6667 0.2267 1
```

Record 5
Ta2SiGeIr2 | GGA-PBE | relaxed

Results
**Total moment**: 0.00 μB per formula unit
**DFT total energy**: -9.2417 eV per atom

The structure in CIF format:
```
data_Ta2SiGeIr2
_space_group_name_H-M_alt 'P 1 m 1'
_space_group_IT_number 6
_space_group_name_Hall 'P -2y'
_cell_length_a 10.364
_cell_length_b 4.230
_cell_length_c 10.367
_cell_angle_alpha 90.00
_cell_angle_beta 109.46
_cell_angle_gamma 90.00
loop_
_atom_site_label
_atom_site_type_symbol
_atom_site_fract_x
_atom_site_fract_y
_atom_site_fract_z
_atom_site_occupancy
Ta1 Ta 0.000 0.000 0.000 1
Ta2 Ta 0.122 0.500 0.375 1
Ta3 Ta 0.247 0.000 0.748 1
Ta4 Ta 0.375 0.500 0.127 1
Ta5 Ta 0.499 0.000 0.500 1
Ta6 Ta 0.624 0.500 0.873 1
Ta7 Ta 0.749 0.000 0.251 1
Ta8 Ta 0.873 0.500 0.624 1
Si1 Si 0.249 0.000 0.251 1
Si2 Si 0.624 0.500 0.376 1
Si3 Si 0.749 0.000 0.749 1
Si4 Si 0.998 0.000 0.500 1
Ge1 Ge 0.123 0.500 0.875 1
Ge2 Ge 0.373 0.500 0.624 1
Ge3 Ge 0.499 0.000 0.001 1
Ge4 Ge 0.874 0.500 0.125 1
Ir1 Ir 0.128 0.500 0.128 1
Ir2 Ir 0.245 0.000 0.496 1
Ir3 Ir 0.373 0.500 0.875 1
Ir4 Ir 0.500 0.000 0.255 1
Ir5 Ir 0.626 0.500 0.624 1
Ir6 Ir 0.750 0.000 0.996 1
Ir7 Ir 0.872 0.500 0.377 1
Ir8 Ir 0.996 0.000 0.747 1
```

Record 6
Pr3NdBr2O2 | GGA-PBE | relaxed

Results
**Total moment**: 0.10 μB per formula unit
**DFT total energy**: -5.9258 eV per atom

The structure in CIF format:
```
data_Pr3NdBr2O2
_space_group_name_H-M_alt 'P 3 m 1'
_space_group_IT_number 156
_space_group_name_Hall 'P 3 -2"'
_cell_length_a 3.7105
_cell_length_b 3.7105
_cell_length_c 14.6528
_cell_angle_alpha 90.00
_cell_angle_beta 90.00
_cell_angle_gamma 120.00
loop_
_atom_site_label
_atom_site_type_symbol
_atom_site_fract_x
_atom_site_fract_y
_atom_site_fract_z
_atom_site_occupancy
Pr1 Pr 0.0000 0.0000 0.0000 1
Pr2 Pr 0.0000 0.0000 0.3169 1
Pr3 Pr 0.3333 0.6667 0.8154 1
Nd1 Nd 0.3333 0.6667 0.4989 1
Br1 Br 0.0000 0.0000 0.6557 1
Br2 Br 0.3333 0.6667 0.1582 1
O1 O 0.6667 0.3333 0.4112 1
O2 O 0.6667 0.3333 0.9080 1
```

Record 7
YScPb2Au2 | GGA-PBE | relaxed

Results
**Total moment**: 0.00 μB per formula unit
**DFT total energy**: -5.0699 eV per atom

The structure in CIF format:
```
data_YScPb2Au2
_space_group_name_H-M_alt 'P 1 m 1'
_space_group_IT_number 6
_space_group_name_Hall 'P -2y'
_cell_length_a 9.525
_cell_length_b 4.762
_cell_length_c 14.284
_cell_angle_alpha 90.00
_cell_angle_beta 109.44
_cell_angle_gamma 90.00
loop_
_atom_site_label
_atom_site_type_symbol
_atom_site_fract_x
_atom_site_fract_y
_atom_site_fract_z
_atom_site_occupancy
Y1 Y 0.000 0.000 0.000 1
Y2 Y 0.124 0.500 0.747 1
Y3 Y 0.250 0.000 0.498 1
Y4 Y 0.502 0.000 0.000 1
Sc1 Sc 0.376 0.500 0.250 1
Sc2 Sc 0.626 0.500 0.748 1
Sc3 Sc 0.749 0.000 0.497 1
Sc4 Sc 0.876 0.500 0.250 1
Pb1 Pb 0.126 0.000 0.251 1
Pb2 Pb 0.252 0.500 0.003 1
Pb3 Pb 0.378 0.000 0.749 1
Pb4 Pb 0.501 0.500 0.495 1
Pb5 Pb 0.626 0.000 0.250 1
Pb6 Pb 0.751 0.500 0.999 1
Pb7 Pb 0.870 0.000 0.744 1
Pb8 Pb 0.996 0.500 0.497 1
Au1 Au 0.065 0.500 0.131 1
Au2 Au 0.187 0.000 0.874 1
Au3 Au 0.320 0.500 0.625 1
Au4 Au 0.441 0.000 0.371 1
Au5 Au 0.567 0.500 0.130 1
Au6 Au 0.686 0.000 0.868 1
Au7 Au 0.805 0.500 0.619 1
Au8 Au 0.932 0.000 0.372 1
```

Record 8
HgH4Cl2O2 | GGA-PBE | relaxed

Results
**DFT total energy**: -3.8682 eV per atom

The structure in CIF format:
```
data_HgH4Cl2O2
_space_group_name_H-M_alt 'C 1 2/m 1'
_space_group_IT_number 12
_space_group_name_Hall '-C 2y'
_cell_length_a 7.225
_cell_length_b 9.392
_cell_length_c 3.784
_cell_angle_alpha 90.00
_cell_angle_beta 96.31
_cell_angle_gamma 90.00
loop_
_atom_site_label
_atom_site_type_symbol
_atom_site_fract_x
_atom_site_fract_y
_atom_site_fract_z
_atom_site_occupancy
Hg1 Hg 0.000 0.000 0.000 1
H1 H 0.084 0.322 0.153 1
Cl1 Cl 0.243 0.500 0.419 1
O1 O 0.000 0.260 0.000 1
```